# ZrNiSb2, optimized geometry, DFT PBE
# **Formation energy without anion corrections**: -144 meV/atom
# **Total magnetization**: 0.00 μB/f.u.
data_ZrNiSb2
_chemical_formula_sum 'Zr2 Ni2 Sb4'
_cell_length_a 3.708
_cell_length_b 5.052
_cell_length_c 8.702
_cell_angle_alpha 90.00
_cell_angle_beta 90.00
_cell_angle_gamma 90.00
_symmetry_space_group_name_H-M 'I m m m'
_symmetry_Int_Tables_number 71
_symmetry_space_group_name_Hall '-I 2 2'
loop_
_atom_site_label
_atom_site_type_symbol
_atom_site_fract_x
_atom_site_fract_y
_atom_site_fract_z
Zr1 Zr 0.000 0.000 0.000
Ni1 Ni 0.000 0.000 0.500
Sb1 Sb 0.000 0.500 0.215

---

# ZrNi4Sb, optimized geometry, DFT PBE
# **Formation energy without anion corrections**: -330 meV/atom
# **Total magnetization**: 0.92 μB/f.u.
data_ZrNi4Sb
_chemical_formula_sum 'Zr4 Ni16 Sb4'
_cell_length_a 6.952
_cell_length_b 6.952
_cell_length_c 6.952
_cell_angle_alpha 90.00
_cell_angle_beta 90.00
_cell_angle_gamma 90.00
_symmetry_space_group_name_H-M 'F -4 3 m'
_symmetry_Int_Tables_number 216
_symmetry_space_group_name_Hall 'F -4 2 3'
loop_
_atom_site_label
_atom_site_type_symbol
_atom_site_fract_x
_atom_site_fract_y
_atom_site_fract_z
Zr1 Zr 0.000 0.000 0.000
Ni1 Ni 0.126 0.126 0.374
Sb1 Sb 0.250 0.250 0.750

---

Q: Number 2 is which compound?
A: ZrNi4Sb

---

Q: The highest formation energy without anion corrections belongs to which entry?
A: ZrNiSb2

---

What did the second record say?
# ZrNi4Sb, optimized geometry, DFT PBE
# **Formation energy without anion corrections**: -330 meV/atom
# **Total magnetization**: 0.92 μB/f.u.
data_ZrNi4Sb
_chemical_formula_sum 'Zr4 Ni16 Sb4'
_cell_length_a 6.952
_cell_length_b 6.952
_cell_length_c 6.952
_cell_angle_alpha 90.00
_cell_angle_beta 90.00
_cell_angle_gamma 90.00
_symmetry_space_group_name_H-M 'F -4 3 m'
_symmetry_Int_Tables_number 216
_symmetry_space_group_name_Hall 'F -4 2 3'
loop_
_atom_site_label
_atom_site_type_symbol
_atom_site_fract_x
_atom_site_fract_y
_atom_site_fract_z
Zr1 Zr 0.000 0.000 0.000
Ni1 Ni 0.126 0.126 0.374
Sb1 Sb 0.250 0.250 0.750

---

Q: formation energy without anion corrections of number 1 (ZrNiSb2)?
A: -144 meV/atom